(1)
## ZrNb3Bi (GGA-PBE)

Data for ZrNb3Bi after structural relaxation.

Values from the calculation:
Its space-group type is Pm-3m, No. 221. The energy above the most stable polymorph in this dataset is 5.16 kcal/mol of atoms.

Cell lengths 5.1169, 5.1169, 5.1169 Å; angles 90.00, 90.00, 90.00 degrees
Positions (direct):
1 Nb 0.0000 0.5000 0.0000
2 Nb 0.0000 0.0000 0.5000
3 Nb 0.5000 0.0000 0.0000
4 Zr 0.5000 0.5000 0.5000
5 Bi 0.0000 0.0000 0.0000

---

(2)
## CdPd8Au2 (GGA-PBE)

Data for CdPd8Au2 after structural relaxation.

Values from the calculation:
Its space-group type is C2/m, No. 12. The energy above the most stable polymorph in this dataset is 0.00 kcal/mol of atoms.

Cell lengths 4.0226, 6.3867, 7.4837 Å; angles 105.40, 105.59, 90.00 degrees
Positions (direct):
1 Pd 0.3183 0.0911 0.6366
2 Pd 0.6817 0.9089 0.3634
3 Pd 0.4107 0.5453 0.8215
4 Pd 0.8642 0.8202 0.7285
5 Pd 0.9549 0.2753 0.9097
6 Pd 0.5893 0.4547 0.1785
7 Pd 0.0451 0.7247 0.0903
8 Pd 0.1358 0.1798 0.2715
9 Au 0.2265 0.6387 0.4529
10 Au 0.7735 0.3613 0.5471
11 Cd 0.5000 0.0000 0.0000

---

(3)
## Hg3MoOs (GGA-PBE)

Data for Hg3MoOs after structural relaxation.

Values from the calculation:
Its space-group type is Pm-3m, No. 221. The energy above the most stable polymorph in this dataset is 0.00 kcal/mol of atoms.

Cell lengths 5.1968, 5.1968, 5.1968 Å; angles 90.00, 90.00, 90.00 degrees
Positions (direct):
1 Os 0.0000 0.0000 0.0000
2 Hg 0.0000 0.0000 0.5000
3 Hg 0.5000 0.0000 0.0000
4 Hg 0.0000 0.5000 0.0000
5 Mo 0.5000 0.5000 0.5000

---

(4)
## LiSe3 (GGA-PBE)

Data for LiSe3 after structural relaxation.

Values from the calculation:
Its space-group type is Pm-3m, No. 221. The formation energy from raw total energies is -0.015 eV per atom. The energy above the most stable polymorph in this dataset is 9.87 kcal/mol of atoms.

Cell lengths 4.3263, 4.3263, 4.3263 Å; angles 90.00, 90.00, 90.00 degrees
Positions (direct):
1 Li 0.0000 0.0000 0.0000
2 Se 0.0000 0.5000 0.5000
3 Se 0.5000 0.0000 0.5000
4 Se 0.5000 0.5000 0.0000

---

(5)
## Ta2HgRu (GGA-PBE)

Data for Ta2HgRu after structural relaxation.

Values from the calculation:
Its space-group type is I-42d, No. 122.

Cell lengths 7.4838, 7.4838, 5.9748 Å; angles 51.22, 51.22, 90.00 degrees
Positions (direct):
1 Hg 0.7500 0.2500 0.5000
2 Hg 0.0000 0.0000 0.0000
3 Ta 0.1727 0.6250 0.2500
4 Ta 0.3750 0.4227 0.7500
5 Ta 0.5773 0.1250 0.2500
6 Ta 0.8750 0.8273 0.7500
7 Ru 0.2500 0.7500 0.5000
8 Ru 0.5000 0.5000 0.0000

---

(6)
## Na2HoMnSe4 (GGA-PBE)

Data for Na2HoMnSe4 after structural relaxation.

Values from the calculation:
Its space-group type is P2/m, No. 10. The formation energy from raw total energies is -1.168 eV per atom.

Cell lengths 4.0034, 6.8206, 7.3606 Å; angles 108.08, 90.00, 90.00 degrees
Positions (direct):
1 Se 0.0000 0.7217 0.2147
2 Se 0.5000 0.7368 0.7799
3 Se 0.5000 0.2632 0.2201
4 Se 0.0000 0.2783 0.7853
5 Na 0.5000 0.0000 0.5000
6 Na 0.0000 0.5000 0.5000
7 Mn 0.5000 0.5000 0.0000
8 Ho 0.0000 0.0000 0.0000

---

Listing calculated density for the structures above in their given order: 7.18 12.66 10.51 5.00 14.18 5.06 g/cm3.
Listing raw total energy for the structures above in their given order: -6.88 -4.58 -3.04 -3.11 -7.81 -4.96 eV/atom.